(1)
Material: NaSm2P3Pt12
Method: DFT, GGA-PBE
State: optimized geometry

```
data_NaSm2P3Pt12
_chemical_formula_sum 'Na1 Sm2 P3 Pt12'
_symmetry_space_group_name_H-M 'P 1'
_symmetry_Int_Tables_number 1
_cell_length_a 7.0654
_cell_length_b 7.0654
_cell_length_c 7.0654
_cell_angle_alpha 77.82
_cell_angle_beta 77.82
_cell_angle_gamma 77.82
loop_
_symmetry_equiv_pos_as_xyz
'x,y,z'
loop_
_atom_site_label
_atom_site_fract_x
_atom_site_fract_y
_atom_site_fract_z
P1 0.0000 0.5000 0.0000
Pt1 0.3286 0.8909 0.3286
Pt2 0.1611 0.6423 0.1611
Pt3 0.6714 0.6714 0.1091
Na1 0.0000 0.0000 0.0000
Pt4 0.3286 0.3286 0.8909
Pt5 0.1091 0.6714 0.6714
Pt6 0.6714 0.1091 0.6714
Pt7 0.8909 0.3286 0.3286
Sm1 0.3897 0.3897 0.3897
P2 0.5000 0.0000 0.0000
P3 0.0000 0.0000 0.5000
Pt8 0.8389 0.8389 0.3577
Pt9 0.8389 0.3577 0.8389
Pt10 0.3577 0.8389 0.8389
Pt11 0.6423 0.1611 0.1611
Sm2 0.6103 0.6103 0.6103
Pt12 0.1611 0.1611 0.6423
```

* calculated formation energy: -0.4134 eV/atom
* E_tot: -5.940 eV per atom

***

(2)
Material: Cu2RhAu
Method: DFT, GGA-PBE
State: optimized geometry

```
data_Cu2RhAu
_chemical_formula_sum 'Cu2 Rh1 Au1'
_symmetry_space_group_name_H-M 'P 1'
_symmetry_Int_Tables_number 1
_cell_length_a 2.6942
_cell_length_b 2.6942
_cell_length_c 8.8928
_cell_angle_alpha 90.00
_cell_angle_beta 90.00
_cell_angle_gamma 115.82
loop_
_symmetry_equiv_pos_as_xyz
'x,y,z'
loop_
_atom_site_label
_atom_site_fract_x
_atom_site_fract_y
_atom_site_fract_z
Rh1 0.0000 0.0000 0.4815
Cu1 0.5000 0.5000 0.2419
Cu2 0.0000 0.0000 0.0163
Au1 0.5000 0.5000 0.7603
```

* calculated formation energy: 0.1635 eV/atom
* E_tot: -4.542 eV per atom

***

(3)
Material: Y2Ga4IrRh3
Method: DFT, GGA-PBE
State: optimized geometry

```
data_Y2Ga4IrRh3
_chemical_formula_sum 'Y2 Ga4 Ir1 Rh3'
_symmetry_space_group_name_H-M 'P 1'
_symmetry_Int_Tables_number 1
_cell_length_a 4.2722
_cell_length_b 4.2722
_cell_length_c 9.9987
_cell_angle_alpha 90.00
_cell_angle_beta 90.00
_cell_angle_gamma 90.00
loop_
_symmetry_equiv_pos_as_xyz
'x,y,z'
loop_
_atom_site_label
_atom_site_fract_x
_atom_site_fract_y
_atom_site_fract_z
Rh1 0.0000 0.0000 0.5000
Ga1 0.5000 0.5000 0.0000
Rh2 0.5000 0.0000 0.8724
Y1 0.0000 0.5000 0.7334
Ga2 0.5000 0.0000 0.6290
Rh3 0.0000 0.5000 0.1276
Ga3 0.0000 0.0000 0.0000
Y2 0.5000 0.0000 0.2666
Ga4 0.0000 0.5000 0.3710
Ir1 0.5000 0.5000 0.5000
```

* calculated formation energy: -0.7820 eV/atom
* E_tot: -6.377 eV per atom

***

(4)
Material: Hf3TiSn2
Method: DFT, GGA-PBE
State: optimized geometry

```
data_Hf3TiSn2
_chemical_formula_sum 'Hf12 Ti4 Sn8'
_symmetry_space_group_name_H-M 'P 1'
_symmetry_Int_Tables_number 1
_cell_length_a 5.0605
_cell_length_b 7.2527
_cell_length_c 14.7662
_cell_angle_alpha 90.00
_cell_angle_beta 90.00
_cell_angle_gamma 100.58
loop_
_symmetry_equiv_pos_as_xyz
'x,y,z'
loop_
_atom_site_label
_atom_site_fract_x
_atom_site_fract_y
_atom_site_fract_z
Hf1 0.4567 0.8994 0.0943
Hf2 0.5941 0.8297 0.4142
Ti1 0.0137 0.5712 0.3837
Sn1 0.0960 0.3024 0.9609
Sn2 0.8322 0.5587 0.7949
Ti2 0.9863 0.4288 0.6163
Hf3 0.6996 0.6673 0.2343
Ti3 0.9863 0.9288 0.8836
Hf4 0.4568 0.3994 0.4057
Ti4 0.0137 0.0712 0.1164
Sn3 0.1678 0.9414 0.2950
Hf5 0.6996 0.1673 0.2657
Hf6 0.4059 0.1703 0.5858
Sn4 0.8322 0.0586 0.7050
Hf7 0.3004 0.8327 0.7343
Sn5 0.9040 0.6976 0.0391
Hf8 0.5432 0.6006 0.5943
Sn6 0.9040 0.1976 0.4609
Sn7 0.0960 0.8024 0.5391
Sn8 0.1678 0.4414 0.2051
Hf9 0.4059 0.6703 0.9142
Hf10 0.5941 0.3297 0.0858
Hf11 0.5433 0.1006 0.9057
Hf12 0.3004 0.3327 0.7657
```

* calculated formation energy: -0.1030 eV/atom
* relative energy among the computed polymorphs: 0 meV/atom
* E_tot: -7.730 eV per atom

***

(5)
Material: TaCu2Mo
Method: DFT, GGA-PBE
State: optimized geometry

```
data_TaCu2Mo
_chemical_formula_sum 'Ta1 Cu2 Mo1'
_symmetry_space_group_name_H-M 'P 1'
_symmetry_Int_Tables_number 1
_cell_length_a 2.6511
_cell_length_b 3.9324
_cell_length_c 5.6557
_cell_angle_alpha 90.00
_cell_angle_beta 90.00
_cell_angle_gamma 90.00
loop_
_symmetry_equiv_pos_as_xyz
'x,y,z'
loop_
_atom_site_label
_atom_site_fract_x
_atom_site_fract_y
_atom_site_fract_z
Cu1 0.0000 0.0000 0.0157
Ta1 0.5000 0.5000 0.7617
Mo1 0.0000 0.0000 0.4846
Cu2 0.5000 0.5000 0.2380
```

* calculated formation energy: 0.1885 eV/atom
* relative energy among the computed polymorphs: 81 meV/atom
* E_tot: -7.531 eV per atom

***

(6)
Material: ScTiW2
Method: DFT, GGA-PBE
State: optimized geometry

```
data_ScTiW2
_chemical_formula_sum 'Sc2 Ti2 W4'
_symmetry_space_group_name_H-M 'P 1'
_symmetry_Int_Tables_number 1
_cell_length_a 7.3476
_cell_length_b 7.3476
_cell_length_c 5.8608
_cell_angle_alpha 51.18
_cell_angle_beta 51.18
_cell_angle_gamma 90.00
loop_
_symmetry_equiv_pos_as_xyz
'x,y,z'
loop_
_atom_site_label
_atom_site_fract_x
_atom_site_fract_y
_atom_site_fract_z
Ti1 0.7500 0.2500 0.5000
W1 0.6418 0.1250 0.2500
Ti2 0.0000 0.0000 0.0000
W2 0.8750 0.8918 0.7500
W3 0.3750 0.3582 0.7500
W4 0.1082 0.6250 0.2500
Sc1 0.5000 0.5000 0.0000
Sc2 0.2500 0.7500 0.5000
```

* calculated formation energy: 0.8379 eV/atom
* relative energy among the computed polymorphs: 478 meV/atom
* E_tot: -9.195 eV per atom

***

(7)
Material: Rh2SeS
Method: DFT, GGA-PBE
State: optimized geometry

```
data_Rh2SeS
_chemical_formula_sum 'Rh4 Se2 S2'
_symmetry_space_group_name_H-M 'P 1'
_symmetry_Int_Tables_number 1
_cell_length_a 4.8711
_cell_length_b 4.8711
_cell_length_c 7.2931
_cell_angle_alpha 70.49
_cell_angle_beta 70.49
_cell_angle_gamma 90.00
loop_
_symmetry_equiv_pos_as_xyz
'x,y,z'
loop_
_atom_site_label
_atom_site_fract_x
_atom_site_fract_y
_atom_site_fract_z
Rh1 0.8750 0.8250 0.7500
Rh2 0.1750 0.6250 0.2500
Se1 0.0000 0.0000 0.0000
Rh3 0.5750 0.1250 0.2500
S1 0.5000 0.5000 0.0000
Rh4 0.3750 0.4250 0.7500
Se2 0.7500 0.2500 0.5000
S2 0.2500 0.7500 0.5000
```

* formation energy without anion corrections: -0.20 eV/atom
* relative energy among the computed polymorphs: 0 meV/atom
* E_tot: -5.782 eV per atom

***

(8)
Material: LiTeOs2
Method: DFT, GGA-PBE
State: optimized geometry

```
data_LiTeOs2
_chemical_formula_sum 'Li1 Te1 Os2'
_symmetry_space_group_name_H-M 'P 1'
_symmetry_Int_Tables_number 1
_cell_length_a 4.7664
_cell_length_b 2.8615
_cell_length_c 4.8887
_cell_angle_alpha 94.84
_cell_angle_beta 90.00
_cell_angle_gamma 90.00
loop_
_symmetry_equiv_pos_as_xyz
'x,y,z'
loop_
_atom_site_label
_atom_site_fract_x
_atom_site_fract_y
_atom_site_fract_z
Os1 0.0000 0.0515 0.9688
Te1 0.5000 0.2500 0.2500
Os2 0.0000 0.4485 0.5312
Li1 0.5000 0.7500 0.7500
```

* formation energy without anion corrections: 0.57 eV/atom
* E_tot: -6.313 eV per atom

***

(9)
Material: CsNpAgBr5
Method: DFT, GGA-PBE
State: optimized geometry

```
data_CsNpAgBr5
_chemical_formula_sum 'Cs2 Np2 Ag2 Br10'
_symmetry_space_group_name_H-M 'P 1'
_symmetry_Int_Tables_number 1
_cell_length_a 8.1895
_cell_length_b 8.1895
_cell_length_c 11.0680
_cell_angle_alpha 101.96
_cell_angle_beta 101.96
_cell_angle_gamma 107.88
loop_
_symmetry_equiv_pos_as_xyz
'x,y,z'
loop_
_atom_site_label
_atom_site_fract_x
_atom_site_fract_y
_atom_site_fract_z
Ag1 0.6893 0.3107 0.2500
Br1 0.2402 0.3684 0.5699
Np1 0.0000 0.0000 0.5000
Br2 0.6316 0.7598 0.9301
Br3 0.0982 0.6967 0.9079
Cs1 0.3438 0.6562 0.2500
Br4 0.9018 0.3033 0.0921
Np2 0.0000 0.0000 0.0000
Br5 0.0654 0.9346 0.2500
Br6 0.6967 0.0982 0.4079
Br7 0.3684 0.2402 0.0699
Br8 0.7598 0.6316 0.4301
Br9 0.3033 0.9018 0.5921
Cs2 0.6562 0.3438 0.7500
Ag2 0.3107 0.6893 0.7500
Br10 0.9346 0.0654 0.7500
```

* formation energy without anion corrections: -1.21 eV/atom
* E_tot: -4.335 eV per atom

***

(10)
Material: Pm2NdGa2
Method: DFT, GGA-PBE
State: optimized geometry

```
data_Pm2NdGa2
_chemical_formula_sum 'Pm4 Nd2 Ga4'
_symmetry_space_group_name_H-M 'P 1'
_symmetry_Int_Tables_number 1
_cell_length_a 4.0960
_cell_length_b 5.6442
_cell_length_c 12.5901
_cell_angle_alpha 98.32
_cell_angle_beta 90.00
_cell_angle_gamma 90.00
loop_
_symmetry_equiv_pos_as_xyz
'x,y,z'
loop_
_atom_site_label
_atom_site_fract_x
_atom_site_fract_y
_atom_site_fract_z
Ga1 0.7500 0.1968 0.3484
Ga2 0.2500 0.8032 0.6516
Pm1 0.7500 0.1551 0.1112
Pm2 0.7500 0.7363 0.4613
Ga3 0.2500 0.3623 0.9712
Pm3 0.2500 0.2637 0.5387
Ga4 0.7500 0.6377 0.0288
Nd1 0.2500 0.6852 0.2260
Nd2 0.7500 0.3148 0.7740
Pm4 0.2500 0.8449 0.8888
```

* calculated formation energy: -0.3058 eV/atom
* relative energy among the computed polymorphs: 174 meV/atom
* E_tot: -4.370 eV per atom

***

(11)
Material: AlReHg2
Method: DFT, GGA-PBE
State: optimized geometry

```
data_AlReHg2
_chemical_formula_sum 'Al1 Re1 Hg2'
_symmetry_space_group_name_H-M 'P 1'
_symmetry_Int_Tables_number 1
_cell_length_a 5.5112
_cell_length_b 5.5112
_cell_length_c 5.5112
_cell_angle_alpha 143.53
_cell_angle_beta 133.26
_cell_angle_gamma 60.70
loop_
_symmetry_equiv_pos_as_xyz
'x,y,z'
loop_
_atom_site_label
_atom_site_fract_x
_atom_site_fract_y
_atom_site_fract_z
Al1 0.2500 0.7500 0.5000
Hg1 0.4882 0.4882 0.0000
Hg2 0.0118 0.0118 0.0000
Re1 0.7500 0.2500 0.5000
```

* calculated formation energy: 0.6168 eV/atom
* E_tot: -3.582 eV per atom